Entry 1:
# SmBiO4

SmBiO4 at its PBEsol-relaxed geometry (meta-GGA SCAN, Alexandria via LeMat-Bulk).

Results
- Raw formation energy: -12.60 eV/f.u.
- Symmetry: C2/c (15)
- Total DFT energy (no corrections): -26.7580 eV per atom
- M_tot: 0.000 μB/f.u.

Cell and atoms, written as POSCAR:
```
SmBiO4
1.0
-1.797 3.878 3.120
0.137 -3.939 3.960
6.100 1.469 -2.292
Sm Bi O
2 2 8
direct
0.886 0.136 0.271
0.114 0.864 0.729
0.650 0.400 0.799
0.350 0.600 0.201
0.722 0.892 0.440
0.969 0.232 0.948
0.479 0.715 0.948
0.782 0.452 0.560
0.218 0.548 0.440
0.521 0.285 0.052
0.031 0.768 0.052
0.278 0.108 0.560
```

Entry 2:
# RbNaTi2P2O10

RbNaTi2P2O10 at its PBEsol-relaxed geometry (meta-GGA SCAN, Alexandria via LeMat-Bulk).

Results
- DOS(E_F): 0.00 states/eV per atom
- Raw formation energy: -45.77 eV/f.u.
- Symmetry: Pna2_1 (33)
- Total DFT energy (no corrections): -11.6181 eV per atom
- M_tot: 0.000 μB/f.u.

Cell and atoms, written as POSCAR:
```
RbNaTi2P2O10
1.0
-4.370 0.340 4.593
-4.274 -9.096 -3.393
7.745 -6.570 7.855
Rb Na Ti P O
4 4 8 8 40
direct
0.156 0.577 0.097
0.844 0.077 0.903
0.344 0.577 0.597
0.656 0.077 0.403
0.750 0.293 0.161
0.250 0.793 0.839
0.750 0.293 0.661
0.250 0.793 0.339
0.483 0.016 0.128
0.517 0.516 0.872
0.017 0.016 0.628
0.983 0.516 0.372
0.249 0.272 0.251
0.751 0.772 0.749
0.251 0.272 0.751
0.749 0.772 0.249
0.340 0.276 0.001
0.660 0.776 0.999
0.160 0.276 0.501
0.840 0.776 0.499
0.990 0.026 0.186
0.010 0.526 0.814
0.510 0.026 0.686
0.490 0.526 0.314
0.021 0.396 0.491
0.979 0.896 0.509
0.479 0.396 0.991
0.521 0.896 0.009
0.294 0.553 0.381
0.706 0.053 0.619
0.206 0.553 0.881
0.794 0.053 0.119
0.449 0.157 0.220
0.551 0.657 0.780
0.051 0.157 0.720
0.949 0.657 0.280
0.023 0.400 0.273
0.977 0.900 0.727
0.477 0.400 0.773
0.523 0.900 0.227
0.459 0.412 0.241
0.541 0.912 0.759
0.041 0.412 0.741
0.959 0.912 0.259
0.177 0.001 0.113
0.823 0.501 0.887
0.323 0.001 0.613
0.677 0.501 0.387
0.483 0.161 0.016
0.517 0.661 0.984
0.017 0.161 0.516
0.983 0.661 0.484
0.022 0.145 0.254
0.978 0.645 0.746
0.478 0.145 0.754
0.522 0.645 0.246
0.296 0.260 0.401
0.704 0.760 0.599
0.204 0.260 0.901
0.796 0.760 0.099
0.188 0.296 0.095
0.812 0.796 0.905
0.312 0.296 0.595
0.688 0.796 0.405
```

Entry 3:
# HfAlCu3

HfAlCu3 at its PBEsol-relaxed geometry (meta-GGA SCAN, Alexandria via LeMat-Bulk).

Results
- DOS(E_F): 0.62 states/eV per atom
- Symmetry: Pm-3m (221)
- Total DFT energy (no corrections): -22.7547 eV per atom
- DFT formation energy: 43 kJ per mole of atoms
- M_tot: 0.000 μB/f.u.

Cell and atoms, written as POSCAR:
```
HfAlCu3
1.0
4.304 0.000 0.000
0.000 4.304 0.000
0.000 0.000 4.304
Hf Al Cu
1 1 3
direct
0.500 0.500 0.500
0.000 0.000 0.000
0.000 0.500 0.000
0.000 0.000 0.500
0.500 0.000 0.000
```

Entry 4:
# ZrScCd2

ZrScCd2 at its PBEsol-relaxed geometry (meta-GGA SCAN, Alexandria via LeMat-Bulk).

Results
- DOS(E_F): 0.77 states/eV per atom
- Symmetry: Cmmm (65)
- Total DFT energy (no corrections): -26.7087 eV per atom
- DFT formation energy: -26 kJ per mole of atoms
- Relative energy among the computed polymorphs: 21 meV/atom
- M_tot: 0.000 μB/f.u.

Cell and atoms, written as POSCAR:
```
ZrScCd2
1.0
3.078 0.000 0.000
0.000 5.297 0.032
0.000 -1.544 5.067
Sc Zr Cd
1 1 2
direct
0.500 0.500 0.500
0.500 0.000 0.000
0.000 0.000 0.500
0.000 0.500 0.000
```

Entry 5:
# TcIr3

TcIr3 at its PBEsol-relaxed geometry (meta-GGA SCAN, Alexandria via LeMat-Bulk).

Results
- DOS(E_F): 0.75 states/eV per atom
- Symmetry: P6_3/mmc (194)
- Total DFT energy (no corrections): -62.2955 eV per atom
- DFT formation energy: -20 kJ per mole of atoms
- M_tot: 0.000 μB/f.u.

Cell and atoms, written as POSCAR:
```
TcIr3
1.0
4.336 0.000 0.000
0.000 5.456 0.000
0.000 -2.728 4.725
Ir Tc
6 2
direct
0.750 0.167 0.334
0.250 0.833 0.666
0.750 0.167 0.833
0.250 0.833 0.167
0.750 0.666 0.833
0.250 0.334 0.167
0.750 0.667 0.333
0.250 0.333 0.667
```

Entry 6:
# CsAlTe3

CsAlTe3 at its PBEsol-relaxed geometry (meta-GGA SCAN, Alexandria via LeMat-Bulk).

Results
- DOS(E_F): 0.00 states/eV per atom
- Raw formation energy: -3.77 eV/f.u.
- Symmetry: P2_1/c (14)
- Total DFT energy (no corrections): -32.2169 eV per atom
- Relative energy among the computed polymorphs: 0 meV/atom
- M_tot: 0.000 μB/f.u.

Cell and atoms, written as POSCAR:
```
CsAlTe3
1.0
7.178 0.112 0.000
-1.881 7.770 0.000
0.000 0.000 13.607
Al Cs Te
4 4 12
direct
0.349 0.829 0.226
0.151 0.171 0.726
0.651 0.171 0.774
0.849 0.829 0.274
0.296 0.265 0.078
0.204 0.735 0.578
0.704 0.735 0.922
0.796 0.265 0.422
0.860 0.545 0.180
0.640 0.455 0.680
0.140 0.455 0.820
0.360 0.545 0.320
0.174 0.018 0.335
0.326 0.982 0.835
0.826 0.982 0.665
0.674 0.018 0.165
0.153 0.732 0.064
0.347 0.268 0.564
0.847 0.268 0.936
0.653 0.732 0.436
```

Entry 7:
# YBeNO2

YBeNO2 at its PBEsol-relaxed geometry (meta-GGA SCAN, Alexandria via LeMat-Bulk).

Results
- DOS(E_F): 0.47 states/eV per atom
- Raw formation energy: -0.59 eV/f.u.
- Symmetry: P4/mmm (123)
- Total DFT energy (no corrections): -10.9083 eV per atom
- M_tot: 2.000 μB/f.u.

Cell and atoms, written as POSCAR:
```
YBeNO2
1.0
4.239 0.000 0.000
0.000 4.239 0.000
0.000 0.000 4.452
Y Be O N
1 1 2 1
direct
0.000 0.000 0.000
0.500 0.500 0.500
0.000 0.500 0.000
0.500 0.000 0.000
0.000 0.000 0.500
```

Entry 8:
# MgIrRu

MgIrRu at its PBEsol-relaxed geometry (meta-GGA SCAN, Alexandria via LeMat-Bulk).

Results
- DOS(E_F): 0.75 states/eV per atom
- Symmetry: Imm2 (44)
- Total DFT energy (no corrections): -37.0380 eV per atom
- DFT formation energy: -7 kJ per mole of atoms
- Relative energy among the computed polymorphs: 0 meV/atom
- M_tot: 0.000 μB/f.u.

Cell and atoms, written as POSCAR:
```
MgIrRu
1.0
2.769 0.000 0.000
0.000 3.865 0.000
-1.384 -1.933 4.020
Ir Mg Ru
1 1 1
direct
0.996 0.996 0.992
0.666 0.666 0.332
0.338 0.338 0.676
```

Entry 9:
# KWN2

KWN2 at its PBEsol-relaxed geometry (meta-GGA SCAN, Alexandria via LeMat-Bulk).

Results
- DOS(E_F): 0.47 states/eV per atom
- Raw formation energy: -2.09 eV/f.u.
- Symmetry: I-42d (122)
- Total DFT energy (no corrections): -24.6733 eV per atom
- M_tot: 0.000 μB/f.u.

Cell and atoms, written as POSCAR:
```
KWN2
1.0
-4.736 3.068 0.410
1.868 -1.593 -5.545
-2.870 -4.071 -2.683
K W N
2 2 4
direct
0.250 0.500 0.250
0.500 0.000 0.500
0.750 0.500 0.750
0.000 0.000 0.000
0.969 0.750 0.875
0.781 0.750 0.375
0.375 0.250 0.969
0.875 0.250 0.781
```

Entry 10:
# Sr2In4Au3

Sr2In4Au3 at its PBEsol-relaxed geometry (meta-GGA SCAN, Alexandria via LeMat-Bulk).

Results
- DOS(E_F): 0.37 states/eV per atom
- Symmetry: P-62m (189)
- Total DFT energy (no corrections): -43.5542 eV per atom
- DFT formation energy: -69 kJ per mole of atoms
- M_tot: 0.000 μB/f.u.

Cell and atoms, written as POSCAR:
```
Sr2In4Au3
1.0
4.565 0.000 0.000
0.000 14.899 0.000
0.000 -7.449 12.903
Sr In Au
8 16 12
direct
0.000 0.548 0.548
0.000 0.000 0.452
0.000 0.452 0.000
0.000 0.667 0.333
0.000 0.333 0.667
0.500 0.180 0.180
0.500 0.000 0.820
0.500 0.820 0.000
0.000 0.817 0.200
0.000 0.382 0.183
0.000 0.618 0.800
0.000 0.800 0.618
0.000 0.200 0.817
0.000 0.183 0.382
0.500 0.719 0.719
0.500 0.000 0.281
0.500 0.281 0.000
0.500 0.650 0.123
0.500 0.473 0.350
0.500 0.527 0.877
0.500 0.877 0.527
0.500 0.123 0.650
0.500 0.350 0.473
0.000 0.000 0.000
0.500 0.829 0.321
0.500 0.492 0.171
0.500 0.508 0.679
0.500 0.679 0.508
0.500 0.321 0.829
0.500 0.171 0.492
0.000 0.820 0.820
0.000 0.000 0.180
0.000 0.180 0.000
0.000 0.343 0.343
0.000 0.000 0.657
0.000 0.657 0.000
```

Entry 11:
# Na5NiCO5

Na5NiCO5 at its PBEsol-relaxed geometry (meta-GGA SCAN, Alexandria via LeMat-Bulk).

Results
- Raw formation energy: -18.55 eV/f.u.
- Symmetry: Pmm2 (25)
- Total DFT energy (no corrections): -8.0876 eV per atom
- M_tot: 1.000 μB/f.u.

Cell and atoms, written as POSCAR:
```
Na5NiCO5
1.0
4.442 0.000 0.000
0.000 4.831 0.000
0.000 0.000 8.253
Na Ni C O
5 1 1 5
direct
0.500 0.967 0.000
0.000 0.996 0.260
0.000 0.996 0.740
0.500 0.504 0.283
0.500 0.504 0.717
0.500 0.006 0.500
0.000 0.429 0.000
0.000 0.160 0.000
0.500 0.006 0.288
0.500 0.006 0.712
0.000 0.560 0.138
0.000 0.560 0.862
```

Entry 12:
# Rb8AlAu3O4

Rb8AlAu3O4 at its PBEsol-relaxed geometry (meta-GGA SCAN, Alexandria via LeMat-Bulk).

Results
- Raw formation energy: -21.05 eV/f.u.
- Symmetry: P2_12_12_1 (19)
- Total DFT energy (no corrections): -26.6944 eV per atom
- M_tot: 0.000 μB/f.u.

Cell and atoms, written as POSCAR:
```
Rb8AlAu3O4
1.0
-0.664 10.279 1.296
-12.501 -1.131 2.564
2.740 -1.428 12.726
Rb Al Au O
32 4 12 16
direct
0.899 0.957 0.491
0.854 0.307 0.938
0.528 0.454 0.015
0.101 0.457 0.009
0.354 0.193 0.062
0.660 0.471 0.735
0.388 0.235 0.350
0.735 0.253 0.182
0.235 0.247 0.818
0.888 0.265 0.650
0.840 0.529 0.235
0.988 0.249 0.362
0.765 0.747 0.682
0.818 0.961 0.233
0.265 0.753 0.318
0.012 0.749 0.138
0.146 0.807 0.562
0.972 0.546 0.515
0.488 0.251 0.638
0.028 0.046 0.985
0.340 0.971 0.765
0.318 0.539 0.767
0.682 0.039 0.733
0.399 0.543 0.509
0.512 0.751 0.862
0.182 0.461 0.267
0.612 0.735 0.150
0.601 0.043 0.991
0.160 0.029 0.265
0.646 0.693 0.438
0.112 0.765 0.850
0.472 0.954 0.485
0.059 0.246 0.138
0.441 0.754 0.638
0.941 0.746 0.362
0.559 0.254 0.862
0.682 0.382 0.439
0.306 0.665 0.051
0.694 0.165 0.449
0.029 0.026 0.713
0.318 0.882 0.061
0.971 0.526 0.787
0.529 0.474 0.287
0.182 0.118 0.561
0.818 0.618 0.939
0.806 0.835 0.949
0.194 0.335 0.551
0.471 0.974 0.213
0.805 0.744 0.277
0.891 0.745 0.494
0.470 0.137 0.836
0.195 0.244 0.223
0.030 0.863 0.336
0.305 0.756 0.723
0.042 0.634 0.334
0.109 0.245 0.006
0.530 0.637 0.664
0.958 0.134 0.166
0.391 0.755 0.506
0.609 0.255 0.994
0.695 0.256 0.777
0.542 0.866 0.666
0.458 0.366 0.834
0.970 0.363 0.164
```